The following is a DFT calculation (GGA+U) of crystalline Li3Co4O8 at its relaxed geometry.

abc: 5.719 5.827 9.866
angles: 106.53 90.16 118.88
Site moments in Bohr magnetons follow the coordinates.
Fractional coordinates of all 30 atoms:
Li 0.255 0.003 0.745  0.01
Li 0.745 0.998 0.255  0.01
Li 0.506 0.003 0.000  -0.01
Li 0.991 0.995 0.500  -0.01
Li 0.757 0.000 0.757  0.00
Li 0.247 0.003 0.240  0.00
Co 0.751 0.503 0.751  0.00
Co 0.997 0.498 0.501  1.09
Co 0.494 0.490 0.504  3.04
Co 0.751 0.499 0.249  -0.02
Co 0.250 0.502 0.751  0.01
Co 0.254 0.500 0.250  -3.03
Co 0.503 0.503 0.998  0.01
Co 0.004 0.504 0.999  1.14
O 0.650 0.290 0.881  -0.02
O 0.117 0.267 0.384  -0.02
O 0.360 0.723 0.112  -0.12
O 0.871 0.722 0.623  0.08
O 0.407 0.285 0.126  -0.10
O 0.900 0.294 0.633  -0.02
O 0.857 0.708 0.119  -0.02
O 0.342 0.713 0.623  0.08
O 0.896 0.295 0.128  -0.14
O 0.390 0.284 0.636  0.18
O 0.103 0.706 0.869  0.00
O 0.607 0.709 0.368  -0.05
O 0.148 0.297 0.881  -0.02
O 0.653 0.284 0.376  0.07
O 0.601 0.711 0.866  0.00
O 0.093 0.711 0.375  -0.10

Magnetization ... 1.01 μB/f.u.
Energy ... -5.658 eV/atom